No. 1
Entry from the Alexandria database: an optimized crystal structure of Pm6TlHg5 (PBE).

Lattice parameters (Å, degrees): 5.389 7.695 8.537 90.00 108.47 90.00
Last column: magnetic moment on the atom in μB.
Fractional positions:
Tl1 0.000 0.000 0.000  0.01
Hg1 0.666 0.500 0.334  0.03
Hg2 0.335 0.000 0.668  0.03
Hg3 0.000 0.500 0.000  0.03
Hg4 0.665 0.000 0.332  0.03
Hg5 0.334 0.500 0.666  0.03
Pm1 0.833 0.749 0.664  0.24
Pm2 0.833 0.251 0.664  0.24
Pm3 0.500 0.254 0.000  0.24
Pm4 0.500 0.746 0.000  0.24
Pm5 0.167 0.749 0.336  0.24
Pm6 0.167 0.251 0.336  0.24

Results
For the uncorrected energy, the calculation gives -0.23197 Ry per atom. The value obtained for the formation energy from the elements is -458 meV/atom. The value obtained for the magnetic moment is 3.0 μB/cell.

No. 2
Entry from the Alexandria database: an optimized crystal structure of Si3AgRh3 (PBE).

Lattice parameters (Å, degrees): 6.485 6.485 6.485 90.00 90.00 90.00
Fractional positions:
Si1 0.000 0.250 0.500
Si2 0.000 0.750 0.500
Si3 0.500 0.000 0.750
Si4 0.750 0.500 0.000
Si5 0.500 0.000 0.250
Si6 0.250 0.500 0.000
Rh1 0.250 0.000 0.500
Rh2 0.000 0.500 0.250
Rh3 0.500 0.750 0.000
Rh4 0.750 0.000 0.500
Rh5 0.000 0.500 0.750
Rh6 0.500 0.250 0.000
Ag1 0.500 0.500 0.500
Ag2 0.000 0.000 0.000

Results
For the uncorrected energy, the calculation gives -0.43551 Ry per atom. The value obtained for the magnetic moment is 0.0 μB/cell.